Compound: MgScRuO6
Source: the Alexandria database
Functional: GGA-PBE
Structure: optimized geometry

```
MgScRuO6
1.0
5.1840 0.0000 0.0000
-2.5920 4.4895 0.0000
0.0000 0.0000 8.9000
Mg Sc Ru O
2 2 2 12
Cartesian
0.0000 0.0000 0.0000 Mg
0.0000 0.0000 4.4500 Mg
0.0000 2.9930 2.2250 Sc
2.5920 1.4965 6.6750 Sc
0.0000 2.9930 6.6750 Ru
2.5920 1.4965 2.2250 Ru
-0.7895 1.6131 5.6068 O
-1.5897 2.9992 7.7432 O
0.7895 1.6131 7.7432 O
-0.8003 4.3666 5.6068 O
1.7917 0.1228 1.1568 O
1.0023 1.4903 3.2932 O
1.5897 2.9992 5.6068 O
0.8003 4.3666 7.7432 O
3.3923 0.1228 3.2932 O
1.8025 2.8764 1.1568 O
4.1817 1.4903 1.1568 O
3.3815 2.8764 3.2932 O
```

Density ... 4.27 g/cm3
Symmetry ... No. 163
Magnetic moment ... 1.01 μB/f.u.
Formation energy (no corrections) ... -1813 meV per atom
E_tot ... -7.03 eV per atom

***

Compound: MgSnRuO6
Source: the Alexandria database
Functional: GGA-PBE
Structure: optimized geometry

```
MgSnRuO6
1.0
5.2405 0.0000 0.0000
-2.6203 4.5384 0.0000
0.0000 0.0000 8.9578
Mg Sn Ru O
2 2 2 12
Cartesian
0.0000 0.0000 0.0000 Mg
0.0000 0.0000 4.4789 Mg
0.0000 3.0256 2.2395 Sn
2.6203 1.5128 6.7184 Sn
0.0000 3.0256 6.7184 Ru
2.6203 1.5128 2.2395 Ru
-0.8331 1.6294 5.6425 O
-1.6257 3.0023 7.7943 O
0.8331 1.6294 7.7943 O
-0.7927 4.4452 5.6425 O
1.8276 0.0932 1.1636 O
0.9945 1.5361 3.3154 O
1.6257 3.0023 5.6425 O
0.7927 4.4452 7.7943 O
3.4129 0.0932 3.3154 O
1.7872 2.9091 1.1636 O
4.2460 1.5361 1.1636 O
3.4533 2.9091 3.3154 O
```

Density ... 5.30 g/cm3
Symmetry ... No. 163
Magnetic moment ... 1.93 μB/f.u.
Formation energy (no corrections) ... -1379 meV per atom
E_tot ... -6.34 eV per atom

***

Compound: Sr4MgRu3O12
Source: the Alexandria database
Functional: GGA-PBE
Structure: optimized geometry

```
Sr4MgRu3O12
1.0
-3.9718 3.9718 3.9718
3.9718 -3.9718 3.9718
3.9718 3.9718 -3.9718
Sr Mg Ru O
4 1 3 12
Cartesian
1.9859 1.9859 -1.9859 Sr
1.9859 -1.9859 1.9859 Sr
-1.9859 1.9859 1.9859 Sr
1.9859 1.9859 1.9859 Sr
0.0000 0.0000 0.0000 Mg
3.9718 0.0000 0.0000 Ru
0.0000 3.9718 0.0000 Ru
0.0000 0.0000 3.9718 Ru
2.0343 0.0000 0.0000 O
5.9094 0.0000 0.0000 O
3.9718 1.9859 0.0000 O
3.9718 0.0000 1.9859 O
0.0000 2.0343 0.0000 O
0.0000 0.0000 2.0343 O
1.9859 3.9718 0.0000 O
1.9859 0.0000 3.9718 O
0.0000 5.9094 0.0000 O
0.0000 0.0000 5.9094 O
0.0000 3.9718 1.9859 O
0.0000 1.9859 3.9718 O
```

Density ... 5.76 g/cm3
Symmetry ... No. 229
Magnetic moment ... 3.99 μB/f.u.
Formation energy (no corrections) ... -1929 meV per atom
E_tot ... -6.71 eV per atom

***

Compound: SrMg2Ru2O7
Source: the Alexandria database
Functional: GGA-PBE
Structure: optimized geometry

```
SrMg2Ru2O7
1.0
-2.0328 2.0328 8.4437
2.0328 -2.0328 8.4437
2.0328 2.0328 -8.4437
Sr Mg Ru O
1 2 2 7
Cartesian
0.0000 0.0000 0.0000 Sr
2.0328 0.0000 4.2218 Mg
0.0000 2.0328 4.2218 Mg
0.0000 0.0000 6.5115 Ru
0.0000 0.0000 10.3759 Ru
2.0328 0.0000 2.0227 O
0.0000 0.0000 4.4726 O
2.0328 0.0000 6.4210 O
0.0000 0.0000 8.4437 O
0.0000 2.0328 2.0227 O
0.0000 0.0000 12.4148 O
0.0000 2.0328 6.4210 O
```

Density ... 5.36 g/cm3
Symmetry ... No. 139
Magnetic moment ... 4.36 μB/f.u.
Formation energy (no corrections) ... -1797 meV per atom
E_tot ... -6.64 eV per atom

***

Compound: SrMgRuO6
Source: the Alexandria database
Functional: GGA-PBE
Structure: optimized geometry

```
SrMgRuO6
1.0
5.2722 0.0000 0.0000
-2.6361 4.5659 0.0000
0.0000 0.0000 5.3117
Sr Mg Ru O
1 1 1 6
Cartesian
0.0000 0.0000 0.0000 Sr
0.0000 3.0439 2.6559 Mg
2.6361 1.5220 2.6559 Ru
1.9920 0.1193 3.7357 O
1.0993 1.6655 1.5760 O
3.2802 0.1193 1.5760 O
1.7434 2.7811 3.7357 O
4.1729 1.6655 3.7357 O
3.5288 2.7811 1.5760 O
```

Density ... 4.01 g/cm3
Symmetry ... No. 149
Magnetic moment ... 0.00 μB/f.u.
Formation energy (no corrections) ... -1538 meV per atom
E_tot ... -6.24 eV per atom

***

Compound: Sr4Tb2MgRu2O12
Source: the Alexandria database
Functional: GGA-PBE
Structure: optimized geometry

```
Sr4Tb2MgRu2O12
1.0
5.9384 0.0000 0.0000
0.5719 6.2974 0.0000
0.2506 0.2811 8.1719
Sr Tb Mg Ru O
4 2 1 2 12
Cartesian
0.0000 0.0000 0.0000 Sr
1.1444 6.1568 3.9607 Sr
2.3811 2.6998 3.7295 Sr
3.1784 3.7389 7.7471 Sr
3.3424 0.6130 6.1606 Tb
5.7121 3.0451 1.7398 Tb
4.4234 4.8500 3.9226 Mg
2.9974 0.1405 1.8692 Ru
6.2992 3.4491 5.9818 Ru
0.7094 3.9242 7.9178 O
1.2230 1.3233 1.9104 O
1.4414 1.7342 6.0043 O
2.1069 4.4907 5.5424 O
2.7660 4.7154 2.5486 O
3.4004 6.1809 8.1654 O
3.2425 0.4657 3.9175 O
3.9891 1.8260 1.3830 O
4.7097 2.2564 6.4542 O
5.2745 5.1863 5.7797 O
5.3423 5.3462 2.0855 O
5.8027 3.2632 3.9772 O
```

Density ... 5.91 g/cm3
Symmetry ... No. 1
Polymorph energy (0 for the lowest one) ... 2.4 kJ/mol of atoms
Magnetic moment ... 4.00 μB/f.u.
Formation energy (no corrections) ... -2307 meV per atom
E_tot ... -6.86 eV per atom

***

Compound: Sr4Tb2MgRu2O12
Source: the Alexandria database
Functional: GGA-PBE
Structure: optimized geometry

```
Sr4Tb2MgRu2O12
1.0
5.8315 0.0000 0.0000
0.2194 6.1063 0.0000
0.3300 0.3930 8.3660
Sr Tb Mg Ru O
4 2 1 2 12
Cartesian
0.0000 0.0000 0.0000 Sr
0.5545 1.4032 4.7192 Sr
3.5011 4.3265 4.7801 Sr
3.7328 3.4245 0.5354 Sr
0.6681 4.3692 2.7386 Tb
3.4053 1.0300 6.7080 Tb
1.2378 1.9287 1.5242 Mg
0.6707 3.9910 6.7169 Ru
3.4889 0.9188 2.5864 Ru
0.8840 3.6851 0.4564 O
1.8500 5.6999 6.3897 O
1.8972 6.1235 2.8782 O
2.1814 2.8060 6.3158 O
2.3766 2.7675 2.8959 O
2.7295 1.0331 0.5845 O
3.9092 0.8011 4.5038 O
4.6078 5.2913 2.1246 O
4.8830 5.2300 7.0351 O
5.2919 2.3325 7.0116 O
5.1993 1.9377 2.1508 O
5.9751 3.9456 4.7788 O
```

Density ... 6.06 g/cm3
Symmetry ... No. 1
Polymorph energy (0 for the lowest one) ... 0.0 kJ/mol of atoms
Magnetic moment ... 4.00 μB/f.u.
Formation energy (no corrections) ... -2332 meV per atom
E_tot ... -6.89 eV per atom

***

Compound: Sr4Tb2MgRu2O12
Source: the Alexandria database
Functional: GGA-PBE
Structure: optimized geometry

```
Sr4Tb2MgRu2O12
1.0
5.7419 0.0000 0.0000
-0.0147 6.0817 0.0000
-0.1334 -0.6712 8.5987
Sr Tb Mg Ru O
4 2 1 2 12
Cartesian
0.0000 0.0000 0.0000 Sr
0.0179 0.7922 3.5285 Sr
2.9093 3.4832 3.9394 Sr
3.0503 3.3632 0.0111 Sr
-0.0153 2.3026 6.5697 Tb
2.9238 0.2642 1.9269 Tb
5.5946 4.8374 5.3763 Mg
0.0962 3.3552 2.0569 Ru
2.8267 5.5475 6.4589 Ru
0.5126 3.3810 0.0815 O
1.0098 0.4208 5.9060 O
1.2693 4.9582 2.5008 O
1.6647 2.0735 2.2742 O
1.6467 3.9201 6.1004 O
2.3312 -0.6500 8.4309 O
3.7600 -0.3412 4.5761 O
3.9448 1.0338 6.9718 O
4.3356 4.6518 1.7918 O
4.3721 4.2220 6.8341 O
4.5681 1.7787 1.6741 O
5.4197 3.1356 4.2129 O
```

Density ... 6.01 g/cm3
Symmetry ... No. 1
Polymorph energy (0 for the lowest one) ... 1.5 kJ/mol of atoms
Magnetic moment ... 4.00 μB/f.u.
Formation energy (no corrections) ... -2317 meV per atom
E_tot ... -6.87 eV per atom

***

Compound: Sr4Y2MgRu2O12
Source: the Alexandria database
Functional: GGA-PBE
Structure: optimized geometry

```
Sr4Y2MgRu2O12
1.0
5.9254 0.0000 0.0000
0.5503 6.2777 0.0000
0.2330 0.2686 8.1769
Sr Y Mg Ru O
4 2 1 2 12
Cartesian
0.0000 0.0000 0.0000 Sr
1.1151 6.1391 3.9738 Sr
2.3781 2.6846 3.7616 Sr
3.1543 3.6956 7.7701 Sr
3.3114 0.5732 6.1693 Y
5.7149 3.0352 1.7538 Y
4.4015 4.8231 3.9252 Mg
2.9969 0.1354 1.8796 Ru
6.2637 3.4201 5.9952 Ru
0.6789 3.8857 7.9329 O
1.2326 1.3166 1.9211 O
1.4277 1.7090 6.0190 O
2.0835 4.4777 5.5656 O
2.7343 4.6943 2.5564 O
3.1397 5.8788 0.0012 O
3.2394 0.4542 3.9302 O
3.9991 1.8116 1.3969 O
4.6769 2.2201 6.4585 O
5.2375 5.1521 5.7906 O
5.3173 5.3165 2.0938 O
5.7773 3.2368 3.9859 O
```

Density ... 5.17 g/cm3
Symmetry ... No. 1
Polymorph energy (0 for the lowest one) ... 2.2 kJ/mol of atoms
Magnetic moment ... 4.00 μB/f.u.
Formation energy (no corrections) ... -2304 meV per atom
E_tot ... -7.03 eV per atom

***

Compound: Sr4Y2MgRu2O12
Source: the Alexandria database
Functional: GGA-PBE
Structure: optimized geometry

```
Sr4Y2MgRu2O12
1.0
5.9170 0.0000 0.0000
0.0434 5.9832 0.0000
0.5519 0.1426 8.4184
Sr Y Mg Ru O
4 2 1 2 12
Cartesian
0.0000 0.0000 0.0000 Sr
0.5498 5.5057 4.1805 Sr
2.7270 2.2728 3.7007 Sr
3.0492 3.0485 0.1233 Sr
3.5971 6.0107 6.3130 Y
5.9440 2.7699 2.0214 Y
4.4531 3.3187 5.5855 Mg
0.8249 2.8215 6.3624 Ru
3.1111 5.7124 2.0050 Ru
1.1699 2.7527 8.2703 O
1.3957 0.9313 2.2943 O
1.7193 1.1404 5.8601 O
1.8928 4.1126 2.2938 O
2.6025 3.8449 5.9234 O
2.6179 5.6341 0.0468 O
3.6946 5.8431 3.9884 O
4.1979 1.4033 1.7023 O
4.9265 1.7675 6.6981 O
4.6578 4.5020 1.6540 O
5.5033 4.6440 6.5527 O
5.9448 2.9626 4.3197 O
```

Density ... 5.27 g/cm3
Symmetry ... No. 1
Polymorph energy (0 for the lowest one) ... 0.0 kJ/mol of atoms
Magnetic moment ... 4.00 μB/f.u.
Formation energy (no corrections) ... -2326 meV per atom
E_tot ... -7.05 eV per atom

***

Compound: MgTaRuO6
Source: the Alexandria database
Functional: GGA-PBE
Structure: optimized geometry

```
MgTaRuO6
1.0
4.7432 0.0000 0.0000
0.0000 4.7432 0.0000
0.0000 0.0000 9.1753
Mg Ta Ru O
2 2 2 12
Cartesian
0.0000 0.0000 0.0000 Mg
2.3716 2.3716 4.5876 Mg
0.0000 0.0000 6.1372 Ta
2.3716 2.3716 1.5495 Ta
0.0000 0.0000 3.0355 Ru
2.3716 2.3716 7.6231 Ru
0.8935 0.8935 4.5531 O
0.9460 0.9460 1.5976 O
0.9671 0.9671 7.5456 O
1.4045 3.3388 2.9580 O
1.4256 3.3176 6.1852 O
1.4781 3.2651 9.1407 O
3.2651 1.4781 9.1407 O
3.3176 1.4256 6.1852 O
3.3388 1.4045 2.9580 O
3.7761 3.7761 7.5456 O
3.7972 3.7972 1.5976 O
3.8497 3.8497 4.5531 O
```

Density ... 6.47 g/cm3
Symmetry ... No. 102
Magnetic moment ... 2.98 μB/f.u.
Formation energy (no corrections) ... -2027 meV per atom
E_tot ... -7.86 eV per atom

***

Compound: MgTeRuO6
Source: the Alexandria database
Functional: GGA-PBE
Structure: optimized geometry

```
MgTeRuO6
1.0
4.6632 0.0000 0.0000
0.0000 4.6632 0.0000
0.0000 0.0000 9.3546
Mg Te Ru O
2 2 2 12
Cartesian
0.0000 0.0000 0.0000 Mg
2.3316 2.3316 4.6773 Mg
0.0000 0.0000 6.2379 Te
2.3316 2.3316 1.5606 Te
0.0000 0.0000 3.1171 Ru
2.3316 2.3316 7.7944 Ru
0.8803 0.8803 4.6522 O
0.9183 0.9183 7.7317 O
0.9316 0.9316 1.5582 O
1.4000 3.2631 6.2355 O
1.4132 3.2499 3.0544 O
1.4512 3.2119 9.3295 O
3.2119 1.4512 9.3295 O
3.2499 1.4132 3.0544 O
3.2631 1.4000 6.2355 O
3.7316 3.7316 1.5582 O
3.7448 3.7448 7.7317 O
3.7828 3.7828 4.6522 O
```

Density ... 5.70 g/cm3
Symmetry ... No. 102
Magnetic moment ... 2.02 μB/f.u.
Formation energy (no corrections) ... -1370 meV per atom
E_tot ... -6.23 eV per atom

***

Compound: MgTiRuO6
Source: the Alexandria database
Functional: GGA-PBE
Structure: optimized geometry

```
MgTiRuO6
1.0
5.0508 0.0000 0.0000
-2.5254 4.3741 0.0000
0.0000 0.0000 9.0665
Mg Ti Ru O
2 2 2 12
Cartesian
0.0000 0.0000 0.0000 Mg
0.0000 0.0000 4.5333 Mg
0.0000 2.9161 2.2666 Ti
2.5254 1.4580 6.7999 Ti
0.0000 2.9161 6.7999 Ru
2.5254 1.4580 2.2666 Ru
-0.8678 1.5372 5.7421 O
-1.6281 2.8540 7.8577 O
0.8678 1.5372 7.8577 O
-0.7603 4.3571 5.7421 O
1.7651 0.0171 1.2088 O
0.8973 1.5201 3.3244 O
1.6281 2.8540 5.7421 O
0.7603 4.3571 7.8577 O
3.2857 0.0171 3.3244 O
1.6576 2.8369 1.2088 O
4.1535 1.5201 1.2088 O
3.3932 2.8369 3.3244 O
```

Density ... 4.46 g/cm3
Symmetry ... No. 163
Magnetic moment ... 2.03 μB/f.u.
Formation energy (no corrections) ... -1890 meV per atom
E_tot ... -7.28 eV per atom

***

Compound: MgTl2RuO6
Source: the Alexandria database
Functional: GGA-PBE
Structure: optimized geometry

```
MgTl2RuO6
1.0
5.5125 0.0000 0.0000
0.0000 5.5846 0.0000
-5.4266 0.0000 7.9624
Mg Tl Ru O
2 4 2 12
Cartesian
0.0000 0.0000 0.0000 Mg
-2.7133 2.7923 3.9812 Mg
-2.7781 0.2447 5.9289 Tl
-0.0647 2.5476 1.9477 Tl
0.1506 3.0370 6.0147 Tl
2.8639 5.3399 2.0335 Tl
0.0429 0.0000 3.9812 Ru
2.7562 2.7923 0.0000 Ru
-1.5469 1.1111 3.5489 O
-4.2602 1.6812 7.5302 O
-1.0339 3.9948 3.4761 O
-3.7472 4.3821 7.4573 O
0.6217 0.2604 2.0815 O
-2.0916 2.5319 6.0627 O
2.1775 3.0527 1.8997 O
-0.5359 5.3242 5.8810 O
3.8330 1.2025 0.5051 O
1.1197 1.5898 4.4863 O
4.3460 3.9034 0.4323 O
1.6327 4.4734 4.4135 O
```

Density ... 8.54 g/cm3
Symmetry ... No. 14
Magnetic moment ... 2.05 μB/f.u.
Formation energy (no corrections) ... -1140 meV per atom
E_tot ... -5.68 eV per atom

***

Compound: MgTlRu2O8
Source: the Alexandria database
Functional: GGA-PBE
Structure: optimized geometry

```
MgTlRu2O8
1.0
4.5754 -2.9262 0.0000
4.5754 2.9262 0.0000
-0.3992 0.0000 7.9572
Mg Tl Ru O
1 1 2 8
Cartesian
0.0000 0.0000 0.0000 Mg
-0.1996 0.0000 3.9786 Tl
3.2804 0.0000 1.6830 Ru
5.4711 0.0000 6.2743 Ru
2.0125 0.0000 0.4562 O
4.2679 1.4790 1.5001 O
4.4835 1.4790 6.4572 O
2.6339 0.0000 3.3147 O
6.1175 0.0000 4.6426 O
4.2679 -1.4790 1.5001 O
4.4835 -1.4790 6.4572 O
6.7390 0.0000 7.5010 O
```

Density ... 4.36 g/cm3
Symmetry ... No. 12
Magnetic moment ... 3.03 μB/f.u.
Formation energy (no corrections) ... -1074 meV per atom
E_tot ... -6.26 eV per atom

***

Compound: MgURuO6
Source: the Alexandria database
Functional: GGA-PBE
Structure: optimized geometry

```
MgURuO6
1.0
4.8021 0.0000 0.0000
0.0000 4.8021 0.0000
0.0000 0.0000 9.5550
Mg U Ru O
2 2 2 12
Cartesian
0.0000 0.0000 0.0000 Mg
2.4011 2.4011 4.7775 Mg
0.0000 0.0000 6.3441 U
2.4011 2.4011 1.5666 U
0.0000 0.0000 3.1822 Ru
2.4011 2.4011 7.9597 Ru
0.9261 0.9261 1.6273 O
0.9355 0.9355 4.7163 O
0.9982 0.9982 7.9320 O
1.4028 3.3993 3.1545 O
1.4655 3.3366 9.4938 O
1.4749 3.3272 6.4048 O
3.3272 1.4749 6.4048 O
3.3366 1.4655 9.4938 O
3.3993 1.4028 3.1545 O
3.8039 3.8039 7.9320 O
3.8666 3.8666 4.7163 O
3.8760 3.8760 1.6273 O
```

Density ... 6.92 g/cm3
Symmetry ... No. 102
Magnetic moment ... 2.00 μB/f.u.
Formation energy (no corrections) ... -2258 meV per atom
E_tot ... -8.03 eV per atom